Record 1
Material: YScV
Method: DFT, GGA-PBE
State: optimized geometry

Lattice parameters (Å, degrees): 3.2376 3.2376 13.6579 96.81 96.81 90.00
Closest atoms and distances in Å follow each position.
Atoms (fractional coordinates):
Y (0.4365, 0.4365, 0.8729)  5 Y 3.24-3.42, 4 Sc 3.48
Y (0.5635, 0.5635, 0.1271)  5 Y 3.24-3.42, 4 Sc 3.48
Sc (0.8392, 0.8392, 0.6784)  5 V 2.92-2.96, 4 Sc 3.24
Sc (0.1608, 0.1608, 0.3216)  5 V 2.92-2.96, 4 Sc 3.24
V (0.2694, 0.2694, 0.5387)  4 V 2.52
V (0.7306, 0.7306, 0.4613)  4 V 2.52

Values from the calculation:
formation energy	0.5	eV per formula unit
DOS at the Fermi energy	6.5	states/eV/cell
calculated density	4.3	g/cm3



Record 2
Material: YSc3V
Method: DFT, GGA-PBE
State: optimized geometry

Lattice parameters (Å, degrees): 5.1564 5.1564 5.1564 90.00 90.00 90.00
Closest atoms and distances in Å follow each position.
Atoms (fractional coordinates):
Sc (0.0000, 0.5000, 0.0000)  2 Y 2.58
Sc (0.0000, 0.0000, 0.5000)  2 Y 2.58
Sc (0.5000, 0.0000, 0.0000)  2 Y 2.58
V (0.5000, 0.5000, 0.5000)  12 Sc 3.65
Y (0.0000, 0.0000, 0.0000)  6 Sc 2.58

Values from the calculation:
formation energy	6.6	eV per formula unit
DOS at the Fermi energy	6.9	states/eV/cell
calculated density	3.3	g/cm3
polymorph energy (0 for the lowest one)	4.844	eV/f.u.



Record 3
Material: YScV3
Method: DFT, GGA-PBE
State: optimized geometry

Lattice parameters (Å, degrees): 4.7974 4.7974 4.7974 90.00 90.00 90.00
Closest atoms and distances in Å follow each position.
Atoms (fractional coordinates):
V (0.5000, 0.0000, 0.0000)  2 Sc 2.40
V (0.0000, 0.5000, 0.0000)  2 Sc 2.40
V (0.0000, 0.0000, 0.5000)  2 Sc 2.40
Y (0.5000, 0.5000, 0.5000)  12 V 3.39
Sc (0.0000, 0.0000, 0.0000)  6 V 2.40

Values from the calculation:
formation energy	6.0	eV per formula unit
DOS at the Fermi energy	9.1	states/eV/cell
calculated density	4.3	g/cm3
polymorph energy (0 for the lowest one)	0.000	eV/f.u.



Record 4
Material: Y2ScV
Method: DFT, GGA-PBE
State: optimized geometry

Lattice parameters (Å, degrees): 8.2543 8.2543 6.6311 51.51 51.51 90.00
Closest atoms and distances in Å follow each position.
Atoms (fractional coordinates):
Sc (0.2500, 0.7500, 0.5000)  2 V 3.15, 4 Y 3.25
Sc (0.5000, 0.5000, 0.0000)  2 V 3.15, 4 Y 3.25
Y (0.3750, 0.3367, 0.7500)  2 V 2.82
Y (0.6633, 0.1250, 0.2500)  2 V 2.82
Y (0.0867, 0.6250, 0.2500)  2 V 2.82
Y (0.8750, 0.9133, 0.7500)  2 V 2.82
V (0.7500, 0.2500, 0.5000)  4 Y 2.82, 2 Sc 3.15
V (0.0000, 0.0000, 0.0000)  4 Y 2.82, 2 Sc 3.15

Values from the calculation:
formation energy	2.4	eV per formula unit
DOS at the Fermi energy	11.6	states/eV/cell
calculated density	4.2	g/cm3
polymorph energy (0 for the lowest one)	1.357	eV/f.u.



Record 5
Material: YScVZn2
Method: DFT, GGA-PBE
State: optimized geometry

Lattice parameters (Å, degrees): 5.0183 5.2394 5.0183 90.00 90.00 90.00
Closest atoms and distances in Å follow each position.
Atoms (fractional coordinates):
Sc (0.0000, 0.0000, 0.0000)  4 Zn 2.51, 2 Y 2.62
Y (0.0000, 0.5000, 0.0000)  2 Sc 2.62
Zn (0.5000, 0.0000, 0.0000)  2 Sc 2.51
Zn (0.0000, 0.0000, 0.5000)  2 Sc 2.51
V (0.5000, 0.5000, 0.5000)  4 Y 3.55, 8 Zn 3.63

Values from the calculation:
formation energy	5.8	eV per formula unit
DOS at the Fermi energy	5.2	states/eV/cell
calculated density	4.0	g/cm3



Record 6
Material: Y2ZrScV
Method: DFT, GGA-PBE
State: optimized geometry

Lattice parameters (Å, degrees): 5.3862 4.9893 5.3862 90.00 90.00 90.00
Closest atoms and distances in Å follow each position.
Atoms (fractional coordinates):
Sc (0.0000, 0.0000, 0.0000)  2 Zr 2.49, 4 Y 2.69
Y (0.0000, 0.0000, 0.5000)  2 Sc 2.69
Y (0.5000, 0.0000, 0.0000)  2 Sc 2.69
V (0.5000, 0.5000, 0.5000)  8 Y 3.67, 4 Zr 3.81
Zr (0.0000, 0.5000, 0.0000)  2 Sc 2.49

Values from the calculation:
formation energy	7.0	eV per formula unit
DOS at the Fermi energy	10.0	states/eV/cell
calculated density	4.2	g/cm3



Record 7
Material: Sc3VZn
Method: DFT, GGA-PBE
State: optimized geometry

Lattice parameters (Å, degrees): 5.0191 5.0191 5.0191 90.00 90.00 90.00
Closest atoms and distances in Å follow each position.
Atoms (fractional coordinates):
Zn (0.0000, 0.0000, 0.0000)  6 Sc 2.51
Sc (0.5000, 0.0000, 0.0000)  2 Zn 2.51
Sc (0.0000, 0.0000, 0.5000)  2 Zn 2.51
Sc (0.0000, 0.5000, 0.0000)  2 Zn 2.51
V (0.5000, 0.5000, 0.5000)  12 Sc 3.55

Values from the calculation:
formation energy	3.2	eV per formula unit
DOS at the Fermi energy	9.3	states/eV/cell
calculated density	3.3	g/cm3
polymorph energy (0 for the lowest one)	0.540	eV/f.u.



Record 8
Material: Sc2V2Zn
Method: DFT, GGA-PBE
State: optimized geometry

Lattice parameters (Å, degrees): 6.7619 6.7619 3.9723 90.00 90.00 90.00
Closest atoms and distances in Å follow each position.
Atoms (fractional coordinates):
V (0.6247, 0.1247, 0.0000)  1 V 2.38
V (0.3753, 0.8753, 0.0000)  1 V 2.38
V (0.1247, 0.3753, 0.0000)  1 V 2.38
V (0.8753, 0.6247, 0.0000)  1 V 2.38
Zn (0.5000, 0.5000, 0.0000)  4 V 2.67
Zn (0.0000, 0.0000, 0.0000)  4 V 2.67
Sc (0.3307, 0.1693, 0.5000)  6 V 2.80-2.83
Sc (0.6693, 0.8307, 0.5000)  6 V 2.80-2.83
Sc (0.1693, 0.6693, 0.5000)  6 V 2.80-2.83
Sc (0.8307, 0.3307, 0.5000)  6 V 2.80-2.83

Values from the calculation:
formation energy	0.9	eV per formula unit
DOS at the Fermi energy	12.0	states/eV/cell
calculated density	4.7	g/cm3



Record 9
Material: ScVZn
Method: DFT, GGA-PBE
State: optimized geometry

Lattice parameters (Å, degrees): 4.7005 7.2832 5.9808 90.00 90.00 90.00
Closest atoms and distances in Å follow each position.
Atoms (fractional coordinates):
Sc (0.5000, 0.5000, 0.7485)  6 Zn 2.83-3.05, 2 Sc 2.97-3.01, 6 V 2.98-3.00
Sc (0.0000, 0.0000, 0.2485)  6 Zn 2.83-3.05, 2 Sc 2.97-3.01, 6 V 2.98-3.00
Sc (0.0000, 0.0000, 0.7515)  6 Zn 2.83-3.05, 2 Sc 2.97-3.01, 6 V 2.98-3.00
Sc (0.5000, 0.5000, 0.2515)  6 Zn 2.83-3.05, 2 Sc 2.97-3.01, 6 V 2.98-3.00
V (0.0000, 0.3574, 0.0000)  1 V 2.08
V (0.5000, 0.8574, 0.5000)  1 V 2.08
V (0.5000, 0.1426, 0.5000)  1 V 2.08
V (0.0000, 0.6426, 0.0000)  1 V 2.08
Zn (0.0000, 0.6709, 0.5000)  1 Zn 2.49, 2 V 2.71
Zn (0.0000, 0.3291, 0.5000)  1 Zn 2.49, 2 V 2.71
Zn (0.5000, 0.8291, 0.0000)  1 Zn 2.49, 2 V 2.71
Zn (0.5000, 0.1709, 0.0000)  1 Zn 2.49, 2 V 2.71

Values from the calculation:
formation energy	0.0	eV per formula unit
DOS at the Fermi energy	12.9	states/eV/cell
calculated density	5.2	g/cm3
polymorph energy (0 for the lowest one)	0.284	eV/f.u.



Record 10
Material: Sc2VZn
Method: DFT, GGA-PBE
State: optimized geometry

Lattice parameters (Å, degrees): 2.9987 2.9987 10.1951 81.54 81.54 60.00
Closest atoms and distances in Å follow each position.
Atoms (fractional coordinates):
Sc (0.0890, 0.0890, 0.7329)  1 V 2.68, 3 Zn 2.91, 6 Sc 3.00
Sc (0.9110, 0.9110, 0.2671)  1 V 2.68, 3 Zn 2.91, 6 Sc 3.00
Zn (0.5000, 0.5000, 0.5000)  6 Sc 2.91, 6 Zn 3.00
V (0.0000, 0.0000, 0.0000)  2 Sc 2.68, 6 V 3.00

Values from the calculation:
formation energy	1.6	eV per formula unit
DOS at the Fermi energy	5.9	states/eV/cell
calculated density	4.4	g/cm3



Record 11
Material: ScVZn2
Method: DFT, GGA-PBE
State: optimized geometry

Lattice parameters (Å, degrees): 4.5459 4.5459 4.5459 60.00 60.00 60.00
Closest atoms and distances in Å follow each position.
Atoms (fractional coordinates):
V (0.0000, 0.0000, 0.0000)  8 Zn 2.78
Zn (0.7500, 0.7500, 0.7500)  4 Sc 2.78, 4 V 2.78
Zn (0.2500, 0.2500, 0.2500)  4 V 2.78, 4 Sc 2.78
Sc (0.5000, 0.5000, 0.5000)  8 Zn 2.78

Values from the calculation:
formation energy	-0.3	eV per formula unit
DOS at the Fermi energy	2.8	states/eV/cell
calculated density	5.7	g/cm3
polymorph energy (0 for the lowest one)	0.000	eV/f.u.



Record 12
Material: Sc2VZn
Method: DFT, GGA-PBE
State: optimized geometry

Lattice parameters (Å, degrees): 3.0873 3.0873 7.7685 90.00 90.00 90.00
Closest atoms and distances in Å follow each position.
Atoms (fractional coordinates):
Sc (0.0000, 0.0000, 0.2487)  4 V 2.92, 4 Zn 2.93, 4 Sc 3.09
Sc (0.0000, 0.0000, 0.7513)  4 V 2.92, 4 Zn 2.93, 4 Sc 3.09
V (0.5000, 0.5000, 0.0000)  8 Sc 2.92, 4 V 3.09
Zn (0.5000, 0.5000, 0.5000)  8 Sc 2.93, 4 Zn 3.09

Values from the calculation:
formation energy	0.0	eV per formula unit
DOS at the Fermi energy	4.7	states/eV/cell
calculated density	4.6	g/cm3



Record 13
Material: ScVZn2
Method: DFT, GGA-PBE
State: optimized geometry

Lattice parameters (Å, degrees): 3.1478 3.1478 6.4871 90.00 90.00 90.00
Closest atoms and distances in Å follow each position.
Atoms (fractional coordinates):
V (0.5000, 0.5000, 0.0000)  8 Zn 2.66
Zn (0.0000, 0.0000, 0.7743)  4 V 2.66, 4 Sc 2.85, 1 Zn 2.93
Zn (0.0000, 0.0000, 0.2257)  4 V 2.66, 4 Sc 2.85, 1 Zn 2.93
Sc (0.5000, 0.5000, 0.5000)  8 Zn 2.85, 4 Sc 3.15

Values from the calculation:
formation energy	-0.2	eV per formula unit
DOS at the Fermi energy	2.8	states/eV/cell
calculated density	5.9	g/cm3
polymorph energy (0 for the lowest one)	0.066	eV/f.u.



Record 14
Material: ScV2Zn
Method: DFT, GGA-PBE
State: optimized geometry

Lattice parameters (Å, degrees): 7.1954 7.1954 5.7140 50.98 50.98 90.00
Closest atoms and distances in Å follow each position.
Atoms (fractional coordinates):
V (0.8750, 0.8992, 0.7500)  2 Zn 2.51, 2 V 2.62, 2 Sc 2.75
V (0.6492, 0.1250, 0.2500)  2 Zn 2.51, 2 V 2.62, 2 Sc 2.75
V (0.1008, 0.6250, 0.2500)  2 Zn 2.51, 2 V 2.62, 2 Sc 2.75
V (0.3750, 0.3508, 0.7500)  2 Zn 2.51, 2 V 2.62, 2 Sc 2.75
Sc (0.5000, 0.5000, 0.0000)  2 Zn 2.60, 4 V 2.75
Sc (0.2500, 0.7500, 0.5000)  2 Zn 2.60, 4 V 2.75
Zn (0.0000, 0.0000, 0.0000)  4 V 2.51, 2 Sc 2.60
Zn (0.7500, 0.2500, 0.5000)  4 V 2.51, 2 Sc 2.60

Values from the calculation:
formation energy	2.2	eV per formula unit
DOS at the Fermi energy	10.6	states/eV/cell
calculated density	5.2	g/cm3



Record 15
Material: Sc3VZn
Method: DFT, GGA-PBE
State: optimized geometry

Lattice parameters (Å, degrees): 4.8893 4.8893 4.8893 90.00 90.00 90.00
Closest atoms and distances in Å follow each position.
Atoms (fractional coordinates):
Sc (0.0000, 0.0000, 0.5000)  2 V 2.44
Sc (0.5000, 0.0000, 0.0000)  2 V 2.44
Sc (0.0000, 0.5000, 0.0000)  2 V 2.44
Zn (0.5000, 0.5000, 0.5000)  12 Sc 3.46
V (0.0000, 0.0000, 0.0000)  6 Sc 2.44

Values from the calculation:
formation energy	2.7	eV per formula unit
DOS at the Fermi energy	6.0	states/eV/cell
calculated density	3.6	g/cm3
polymorph energy (0 for the lowest one)	0.000	eV/f.u.



Record 16
Material: ScVZn
Method: DFT, GGA-PBE
State: optimized geometry

Lattice parameters (Å, degrees): 5.0803 5.1911 9.6404 82.59 74.72 60.70
Closest atoms and distances in Å follow each position.
Atoms (fractional coordinates):
V (0.8781, 0.5000, 0.2437)  2 V 2.60, 4 Sc 2.72-2.79, 4 Zn 2.72-2.74
V (0.6219, 0.5000, 0.7563)  2 V 2.60, 4 Sc 2.72-2.79, 4 Zn 2.72-2.74
V (0.8719, 0.0000, 0.2563)  2 V 2.60, 4 Sc 2.72-2.79, 4 Zn 2.72-2.74
V (0.1281, 0.0000, 0.7437)  2 V 2.60, 4 Sc 2.72-2.79, 4 Zn 2.72-2.74
Zn (0.4248, 0.0000, 0.1503)  4 V 2.72-2.74, 1 Zn 2.80
Zn (0.1748, 0.5000, 0.6503)  4 V 2.72-2.74, 1 Zn 2.80
Zn (0.3252, 0.5000, 0.3497)  4 V 2.72-2.74, 1 Zn 2.80
Zn (0.5752, 0.0000, 0.8497)  4 V 2.72-2.74, 1 Zn 2.80
Sc (0.5891, 0.8218, 0.5000)  4 V 2.72-2.79, 3 Sc 2.91-3.01
Sc (0.1609, 0.6782, 0.0000)  4 V 2.72-2.79, 3 Sc 2.91-3.01
Sc (0.8391, 0.3218, 0.0000)  4 V 2.72-2.79, 3 Sc 2.91-3.01
Sc (0.9109, 0.1782, 0.5000)  4 V 2.72-2.79, 3 Sc 2.91-3.01

Values from the calculation:
formation energy	0.9	eV per formula unit
DOS at the Fermi energy	13.9	states/eV/cell
calculated density	5.0	g/cm3
polymorph energy (0 for the lowest one)	1.177	eV/f.u.



Record 17
Material: ScVZn2
Method: DFT, GGA-PBE
State: optimized geometry

Lattice parameters (Å, degrees): 7.2513 7.2513 5.7890 51.22 51.22 90.00
Closest atoms and distances in Å follow each position.
Atoms (fractional coordinates):
V (0.0000, 0.0000, 0.0000)  4 Zn 2.53, 2 Sc 2.69
V (0.7500, 0.2500, 0.5000)  4 Zn 2.53, 2 Sc 2.69
Zn (0.6492, 0.1250, 0.2500)  2 V 2.53, 2 Zn 2.71, 2 Sc 2.77
Zn (0.8750, 0.8992, 0.7500)  2 V 2.53, 2 Zn 2.71, 2 Sc 2.77
Zn (0.1008, 0.6250, 0.2500)  2 V 2.53, 2 Zn 2.71, 2 Sc 2.77
Zn (0.3750, 0.3508, 0.7500)  2 V 2.53, 2 Zn 2.71, 2 Sc 2.77
Sc (0.2500, 0.7500, 0.5000)  2 V 2.69, 4 Zn 2.77
Sc (0.5000, 0.5000, 0.0000)  2 V 2.69, 4 Zn 2.77

Values from the calculation:
formation energy	1.2	eV per formula unit
DOS at the Fermi energy	8.8	states/eV/cell
calculated density	5.3	g/cm3
polymorph energy (0 for the lowest one)	1.503	eV/f.u.



Record 18
Material: ScVZn
Method: DFT, GGA-PBE
State: optimized geometry

Lattice parameters (Å, degrees): 4.0974 7.1999 7.1079 90.00 90.00 90.00
Closest atoms and distances in Å follow each position.
Atoms (fractional coordinates):
Sc (0.2500, 0.8133, 0.3006)  6 V 2.90-3.22, 5 Zn 2.91-3.04
Sc (0.7500, 0.3133, 0.8006)  6 V 2.90-3.22, 5 Zn 2.91-3.04
Sc (0.2500, 0.6867, 0.8006)  6 V 2.90-3.22, 5 Zn 2.91-3.04
Sc (0.7500, 0.1867, 0.3006)  6 V 2.90-3.22, 5 Zn 2.91-3.04
Zn (0.2500, 0.3984, 0.1054)  2 Zn 2.52, 2 V 2.61-2.66
Zn (0.7500, 0.8984, 0.6054)  2 Zn 2.52, 2 V 2.61-2.66
Zn (0.2500, 0.1016, 0.6054)  2 Zn 2.52, 2 V 2.61-2.66
Zn (0.7500, 0.6016, 0.1054)  2 Zn 2.52, 2 V 2.61-2.66
V (0.2500, 0.4410, 0.4766)  2 V 2.22
V (0.7500, 0.5590, 0.4766)  2 V 2.22
V (0.7500, 0.9410, 0.9766)  2 V 2.22
V (0.2500, 0.0590, 0.9766)  2 V 2.22

Values from the calculation:
formation energy	0.0	eV per formula unit
DOS at the Fermi energy	11.4	states/eV/cell
calculated density	5.1	g/cm3
polymorph energy (0 for the lowest one)	0.268	eV/f.u.



Record 19
Material: Sc2VZn
Method: DFT, GGA-PBE
State: optimized geometry

Lattice parameters (Å, degrees): 3.5236 4.6507 4.6507 90.00 90.00 90.00
Closest atoms and distances in Å follow each position.
Atoms (fractional coordinates):
V (0.5000, 0.0000, 0.0000)  8 Sc 2.92
Zn (0.5000, 0.5000, 0.5000)  8 Sc 2.92
Sc (0.0000, 0.0000, 0.5000)  4 V 2.92, 4 Zn 2.92
Sc (0.0000, 0.5000, 0.0000)  4 Zn 2.92, 4 V 2.92

Values from the calculation:
formation energy	-0.1	eV per formula unit
DOS at the Fermi energy	2.7	states/eV/cell
calculated density	4.5	g/cm3



Record 20
Material: ScVZn
Method: DFT, GGA-PBE
State: optimized geometry

Lattice parameters (Å, degrees): 5.6914 4.6841 7.8787 90.00 99.47 90.00
Closest atoms and distances in Å follow each position.
Atoms (fractional coordinates):
Sc (0.6867, 0.0000, 0.1464)  3 V 2.80-3.07, 6 Zn 2.89-3.00
Sc (0.6867, 0.5000, 0.6464)  3 V 2.80-3.07, 6 Zn 2.89-3.00
Sc (0.0280, 0.0000, 0.8607)  3 V 2.69-2.94, 4 Zn 2.71-2.75
Sc (0.0280, 0.5000, 0.3607)  3 V 2.69-2.94, 4 Zn 2.71-2.75
V (0.3957, 0.0000, 0.4423)  1 V 2.04
V (0.2113, 0.0000, 0.1980)  1 V 2.04
V (0.3957, 0.5000, 0.9423)  1 V 2.04
V (0.2113, 0.5000, 0.6980)  1 V 2.04
Zn (0.9300, 0.0000, 0.5129)  6 Sc 2.71-3.00, 2 V 2.80-3.00
Zn (0.9300, 0.5000, 0.0129)  6 Sc 2.71-3.00, 2 V 2.80-3.00
Zn (0.4830, 0.5000, 0.2859)  5 V 2.67-2.83, 4 Sc 2.75-2.91
Zn (0.4830, 0.0000, 0.7859)  5 V 2.67-2.83, 4 Sc 2.75-2.91

Values from the calculation:
formation energy	0.0	eV per formula unit
DOS at the Fermi energy	9.5	states/eV/cell
calculated density	5.2	g/cm3
polymorph energy (0 for the lowest one)	0.259	eV/f.u.